DFT (PBE-GGA) results for an optimized crystal structure of ScOsF2.

Cell lengths 8.073, 8.073, 8.073 Å; angles 152.58, 152.58, 39.17 degrees
Fractional coordinates of all 8 atoms:
1 Sc 0.000 0.000 0.000
2 Sc 0.750 0.250 0.500
3 Os 0.250 0.750 0.500
4 Os 0.500 0.500 0.000
5 F 0.128 0.625 0.003
6 F 0.375 0.378 0.503
7 F 0.622 0.125 0.997
8 F 0.875 0.872 0.497

Properties
Calculated volume, Å³/atom: 13.9
Formation energy without anion corrections, eV per atom: -0.966
Final energy, eV per atom: -6.292
Space-group type: I-42d, No. 122
Offset from the most stable computed form, meV per atom: 322